Entry 1:
A plane-wave DFT calculation with PBE was carried out for a relaxed structure of InReTcNi.

The structure in extended XYZ format:
```
4
Lattice="1.446 2.405 3.399 -2.169 3.644 1.202 -2.271 0.068 3.777" Properties=species:S:1:pos:R:3 pbc="T T T"
Ni -2.245 4.587 6.283
In 0.000 0.000 0.000
Tc -0.748 1.529 2.094
Re -1.497 3.058 4.189
```

As for the spin magnetization: 0.12 μB/f.u. The total energy is -7.457 eV per atom. The calculated volume is 61 Å³/cell.

***

Entry 2:
A plane-wave DFT calculation with PBE was carried out for a relaxed structure of InNi3S5.

The structure in extended XYZ format:
```
9
Lattice="5.488 0.000 0.000 -2.744 4.752 0.000 0.000 0.000 6.423" Properties=species:S:1:pos:R:3 pbc="T T T"
In 0.000 0.000 0.000
Ni -1.372 2.376 3.211
S 0.000 3.168 4.752
S 0.000 3.168 1.671
S 2.744 1.584 1.671
Ni 1.372 2.376 3.211
S 0.000 0.000 3.211
S 2.744 1.584 4.752
Ni 2.744 0.000 3.211
```

As for the spin magnetization: 0.01 μB/f.u. The total energy is -4.608 eV per atom. The calculated volume is 167 Å³/cell.

***

Entry 3:
A plane-wave DFT calculation with PBE was carried out for a relaxed structure of TlInNi3S2.

The structure in extended XYZ format:
```
7
Lattice="-4.792 2.111 -1.876 -4.652 -3.050 -0.034 -4.187 1.129 3.483" Properties=species:S:1:pos:R:3 pbc="T T T"
Tl 0.000 0.000 0.000
S -10.564 0.148 1.219
S -3.068 0.043 0.354
Ni -4.490 1.620 0.804
Ni -4.722 -0.469 -0.955
Ni -4.420 -0.960 1.725
In -6.816 0.096 0.787
```

As for the spin magnetization: 0.00 μB/f.u. The total energy is -4.641 eV per atom. The calculated volume is 119 Å³/cell.

***

Entry 4:
A plane-wave DFT calculation with PBE was carried out for a relaxed structure of Zr2InNi2Sb.

The structure in extended XYZ format:
```
12
Lattice="6.945 -3.089 0.000 6.945 3.089 0.000 -2.748 0.000 5.534" Properties=species:S:1:pos:R:3 pbc="T T T"
In 0.706 0.772 2.075
Zr 6.243 -2.317 4.825
Zr 4.899 -2.317 0.708
Ni 6.945 2.257 0.000
Ni 5.571 -0.713 2.767
In 3.491 -2.317 3.459
Zr 3.458 0.772 3.442
Sb 4.866 0.772 0.692
Ni 9.758 -0.772 1.330
Zr 7.685 0.772 2.092
Ni 1.385 -0.772 4.204
Sb 6.277 0.772 4.842
```

As for the spin magnetization: 0.00 μB/f.u. The total energy is -6.471 eV per atom. The calculated volume is 237 Å³/cell.

***

Entry 5:
A plane-wave DFT calculation with PBE was carried out for a relaxed structure of Zr2InNi2Sb.

The structure in extended XYZ format:
```
24
Lattice="-7.232 5.272 -5.781 1.518 -1.885 -3.618 -4.076 -9.327 3.149" Properties=species:S:1:pos:R:3 pbc="T T T"
Ni -6.363 1.656 -3.532
Ni -4.839 -5.709 0.944
Sb -3.490 -2.480 -2.790
Ni -7.339 -5.828 -2.661
Ni -0.061 0.005 -0.028
Sb -2.670 -6.151 -0.534
Zr -3.865 -3.390 0.145
Ni -1.748 -3.835 -1.354
In -9.162 -4.486 -4.126
Zr -6.343 -3.474 -3.470
In -6.684 -4.340 -0.543
Sb -5.872 -8.013 1.711
Zr -4.646 0.316 -2.114
Sb -4.263 1.233 -5.049
Zr -10.233 -1.756 -3.378
In -1.035 -2.364 0.798
Zr -9.533 -5.307 -1.235
Ni -5.581 -1.993 -1.303
Zr -5.523 -7.081 -1.247
In -7.443 -0.690 -2.763
Zr -0.655 -1.508 -2.108
Zr -7.070 0.186 -5.682
Ni -2.476 -0.127 -3.591
Ni -8.123 -2.135 -4.914
```

As for the spin magnetization: 0.00 μB/f.u. The total energy is -6.456 eV per atom. The calculated volume is 466 Å³/cell.

***

Entry 6:
A plane-wave DFT calculation with PBE was carried out for a relaxed structure of Sc3InNi8.

The structure in extended XYZ format:
```
12
Lattice="5.994 5.960 0.375 6.750 3.470 -3.739 3.315 6.915 -3.575" Properties=species:S:1:pos:R:3 pbc="T T T"
Ni 10.421 8.899 -4.916
Ni 11.047 11.244 -4.774
Ni 10.041 10.150 -2.850
Sc 8.063 8.207 -3.484
Ni 3.012 3.066 -1.302
Sc 6.033 6.140 -2.607
Ni 11.664 13.574 -4.628
Ni 8.695 10.629 -4.834
Ni 13.384 11.849 -4.710
Ni 12.042 12.328 -6.689
In 14.034 14.284 -6.064
Sc 16.017 16.303 -6.921
```

As for the spin magnetization: 0.00 μB/f.u. The total energy is -5.993 eV per atom. The calculated volume is 164 Å³/cell.

***

Entry 7:
A plane-wave DFT calculation with PBE was carried out for a relaxed structure of ScInNi2.

The structure in extended XYZ format:
```
4
Lattice="0.000 3.154 3.154 3.154 0.000 3.154 3.154 3.154 0.000" Properties=species:S:1:pos:R:3 pbc="T T T"
Ni 3.154 3.154 3.154
In 1.577 1.577 1.577
Sc 0.000 0.000 0.000
Ni 4.731 4.731 4.731
```

As for the spin magnetization: 0.00 μB/f.u. The total energy is -5.223 eV per atom. The calculated volume is 63 Å³/cell.

***

Entry 8:
A plane-wave DFT calculation with PBE was carried out for a relaxed structure of ScInNi2.

The structure in extended XYZ format:
```
16
Lattice="6.190 0.000 0.000 0.000 6.195 0.000 0.000 0.000 6.519" Properties=species:S:1:pos:R:3 pbc="T T T"
In 4.643 4.646 0.000
Ni 3.095 3.097 4.890
In 4.642 4.646 3.259
In 1.547 1.549 0.000
In 1.548 1.549 3.259
Ni 0.000 3.097 1.630
Sc 1.547 4.646 0.000
Sc 1.548 4.646 3.259
Ni 3.095 0.000 1.629
Sc 4.643 1.549 0.000
Sc 4.642 1.549 3.259
Ni 3.095 0.000 4.890
Ni 3.095 3.098 1.629
Ni 0.000 0.000 1.630
Ni 0.000 0.000 4.888
Ni 0.000 3.098 4.888
```

As for the spin magnetization: 0.00 μB/f.u. The total energy is -5.404 eV per atom. The calculated volume is 250 Å³/cell.

***

Entry 9:
A plane-wave DFT calculation with PBE was carried out for a relaxed structure of ScIn2Ni.

The structure in extended XYZ format:
```
4
Lattice="2.350 1.357 3.838 -2.350 1.357 3.838 0.000 -2.714 3.838" Properties=species:S:1:pos:R:3 pbc="T T T"
Sc 0.000 0.000 5.757
Ni 0.000 0.000 2.879
In 0.000 0.000 8.636
In 0.000 0.000 0.000
```

As for the spin magnetization: 0.00 μB/f.u. The total energy is -4.498 eV per atom. The calculated volume is 73 Å³/cell.

***

Entry 10:
A plane-wave DFT calculation with PBE was carried out for a relaxed structure of ScTaInNi.

The structure in extended XYZ format:
```
4
Lattice="0.000 3.302 3.302 3.302 0.000 3.302 3.302 3.302 0.000" Properties=species:S:1:pos:R:3 pbc="T T T"
Ta 3.302 3.302 3.302
In 0.000 0.000 0.000
Ni 4.952 4.952 4.952
Sc 1.651 1.651 1.651
```

As for the spin magnetization: 3.00 μB/f.u. The total energy is -6.416 eV per atom. The calculated volume is 72 Å³/cell.

***

Entry 11:
A plane-wave DFT calculation with PBE was carried out for a relaxed structure of ScInTcNi.

The structure in extended XYZ format:
```
4
Lattice="0.000 3.217 3.217 3.217 0.000 3.217 3.217 3.217 0.000" Properties=species:S:1:pos:R:3 pbc="T T T"
Ni 4.826 4.826 4.826
Tc 3.217 3.217 3.217
In 0.000 0.000 0.000
Sc 1.609 1.609 1.609
```

As for the spin magnetization: 1.33 μB/f.u. The total energy is -6.097 eV per atom. The calculated volume is 67 Å³/cell.

***

Entry 12:
A plane-wave DFT calculation with PBE was carried out for a relaxed structure of ScInTcNi.

The structure in extended XYZ format:
```
4
Lattice="0.000 3.206 3.206 3.206 0.000 3.206 3.206 3.206 0.000" Properties=species:S:1:pos:R:3 pbc="T T T"
Tc 1.603 1.603 1.603
Sc 3.206 3.206 3.206
In 0.000 0.000 0.000
Ni 4.810 4.810 4.810
```

As for the spin magnetization: 0.09 μB/f.u. The total energy is -6.364 eV per atom. The calculated volume is 66 Å³/cell.

***

Entry 13:
A plane-wave DFT calculation with PBE was carried out for a relaxed structure of ScInNiTe3.

The structure in extended XYZ format:
```
12
Lattice="7.550 -1.985 0.000 7.550 1.985 0.000 0.000 0.000 10.536" Properties=species:S:1:pos:R:3 pbc="T T T"
Te 5.505 0.000 4.579
Te 5.505 0.000 0.689
In 3.697 0.000 7.902
Te 1.208 0.000 2.634
Sc 0.000 0.000 0.000
Ni 7.939 0.000 7.902
Ni 7.161 0.000 2.634
Sc 0.000 0.000 5.268
In 11.403 0.000 2.634
Te 13.892 0.000 7.902
Te 9.595 0.000 9.848
Te 9.595 0.000 5.957
```

As for the spin magnetization: 0.00 μB/f.u. The total energy is -4.596 eV per atom. The calculated volume is 316 Å³/cell.

***

Entry 14:
A plane-wave DFT calculation with PBE was carried out for a relaxed structure of ScInNiTe3.

The structure in extended XYZ format:
```
24
Lattice="12.109 0.000 0.000 0.000 3.994 0.000 0.000 0.000 12.512" Properties=species:S:1:pos:R:3 pbc="T T T"
Te 4.368 0.000 6.015
Ni 10.160 1.997 2.761
Te 2.491 1.997 2.935
Sc 3.770 1.997 12.097
Sc 2.285 1.997 5.841
Te 0.754 0.000 7.478
Te 3.564 1.997 9.191
Te 5.300 0.000 1.222
Te 9.618 0.000 9.577
In 6.189 0.000 8.678
Ni 4.106 0.000 3.495
In 11.974 0.000 2.422
Te 6.808 1.997 11.290
Te 8.545 0.000 3.321
Te 7.741 1.997 6.497
Te 1.687 0.000 12.271
In 5.920 1.997 3.834
Sc 8.339 0.000 0.415
In 0.135 1.997 10.090
Te 10.422 1.997 0.241
Sc 9.824 0.000 6.671
Ni 8.003 1.997 9.017
Te 11.355 1.997 5.034
Ni 1.949 0.000 9.751
```

As for the spin magnetization: 0.00 μB/f.u. The total energy is -4.564 eV per atom. The calculated volume is 605 Å³/cell.

***

Entry 15:
A plane-wave DFT calculation with PBE was carried out for a relaxed structure of Sc4Tl3In2Ni2.

The structure in extended XYZ format:
```
11
Lattice="7.525 0.000 0.000 0.000 3.349 0.000 -0.810 0.000 9.242" Properties=species:S:1:pos:R:3 pbc="T T T"
Sc 4.468 1.674 7.768
Tl 0.000 0.000 0.000
Ni 2.931 0.000 3.408
In 1.945 0.000 7.928
Sc 2.247 1.674 1.473
Sc 1.807 1.674 5.216
Sc 4.908 1.674 4.025
In 4.770 0.000 1.314
Tl 6.660 0.000 6.135
Ni 3.784 0.000 5.833
Tl 0.055 0.000 3.106
```

As for the spin magnetization: 0.02 μB/f.u. The total energy is -4.830 eV per atom. The calculated volume is 233 Å³/cell.

***

Entry 16:
A plane-wave DFT calculation with PBE was carried out for a relaxed structure of Sc4TlIn4Ni2.

The structure in extended XYZ format:
```
11
Lattice="7.503 0.000 0.000 0.000 3.343 0.000 -0.820 0.000 9.148" Properties=species:S:1:pos:R:3 pbc="T T T"
Sc 4.871 1.671 3.106
Tl -0.410 0.000 4.574
Sc 4.498 1.671 8.565
In 7.038 0.000 1.483
Sc 2.185 1.671 0.583
In 4.357 0.000 5.888
In -0.355 0.000 7.665
In 2.325 0.000 3.261
Ni 4.206 0.000 1.200
Ni 2.477 0.000 7.948
Sc 1.811 1.671 6.043
```

As for the spin magnetization: 0.02 μB/f.u. The total energy is -4.963 eV per atom. The calculated volume is 229 Å³/cell.

***

Entry 17:
A plane-wave DFT calculation with PBE was carried out for a relaxed structure of Sc4Tl3In2Ni2.

The structure in extended XYZ format:
```
11
Lattice="-3.496 -0.200 6.711 -0.170 -3.344 -0.188 8.516 -0.630 3.505" Properties=species:S:1:pos:R:3 pbc="T T T"
Ni 4.202 -0.733 9.236
Tl 0.057 -0.394 6.958
Sc 2.737 -2.252 7.660
In -0.221 -0.192 3.613
In 5.240 -0.638 6.602
Sc -2.339 -1.871 5.486
Sc 2.113 -1.922 2.367
Ni 0.818 -0.097 0.979
Tl 4.963 -0.436 3.257
Sc 7.189 -2.303 4.541
Tl 2.510 -0.415 5.108
```

As for the spin magnetization: 0.01 μB/f.u. The total energy is -4.826 eV per atom. The calculated volume is 233 Å³/cell.

***

Entry 18:
A plane-wave DFT calculation with PBE was carried out for a relaxed structure of Tm2Sc2In5Ni2.

The structure in extended XYZ format:
```
11
Lattice="-3.864 -5.725 3.161 2.935 -1.580 0.726 0.683 4.894 7.891" Properties=species:S:1:pos:R:3 pbc="T T T"
Sc -0.605 -0.208 10.007
In -1.045 -0.201 3.786
Ni -1.060 1.817 8.241
In 0.341 2.447 3.946
In -3.588 -4.691 4.294
In 0.407 3.860 6.758
Tm -0.932 -3.014 5.223
Sc 0.359 -2.203 1.771
In -2.136 -0.630 7.266
Tm 0.686 0.603 6.556
Ni -2.121 -2.648 2.811
```

As for the spin magnetization: 0.00 μB/f.u. The total energy is -4.682 eV per atom. The calculated volume is 240 Å³/cell.

***

Entry 19:
A plane-wave DFT calculation with PBE was carried out for a relaxed structure of TmScIn2Ni4.

The structure in extended XYZ format:
```
8
Lattice="4.360 0.000 0.000 -2.180 3.776 0.000 0.000 0.000 8.124" Properties=species:S:1:pos:R:3 pbc="T T T"
In 0.000 2.517 6.182
Ni 0.000 0.000 5.412
Ni 2.180 1.259 1.243
In 0.000 2.517 1.942
Ni 0.000 0.000 2.712
Tm 2.180 1.259 4.062
Sc 0.000 0.000 0.000
Ni 2.180 1.259 6.881
```

As for the spin magnetization: 0.00 μB/f.u. The total energy is -5.235 eV per atom. The calculated volume is 134 Å³/cell.

***

Entry 20:
A plane-wave DFT calculation with PBE was carried out for a relaxed structure of ScZnInNi.

The structure in extended XYZ format:
```
4
Lattice="0.000 3.237 3.237 3.237 0.000 3.237 3.237 3.237 0.000" Properties=species:S:1:pos:R:3 pbc="T T T"
In 0.000 0.000 0.000
Ni 3.237 3.237 3.237
Zn 4.856 4.856 4.856
Sc 1.619 1.619 1.619
```

As for the spin magnetization: 0.00 μB/f.u. The total energy is -4.187 eV per atom. The calculated volume is 68 Å³/cell.

***

Entry 21:
A plane-wave DFT calculation with PBE was carried out for a relaxed structure of ScZnInNi.

The structure in extended XYZ format:
```
4
Lattice="-2.960 -0.851 3.343 -0.677 3.079 3.275 -3.925 2.284 0.196" Properties=species:S:1:pos:R:3 pbc="T T T"
Zn -1.891 1.128 1.703
In 0.000 0.000 0.000
Ni -5.672 3.385 5.110
Sc -3.781 2.257 3.407
```

As for the spin magnetization: 0.00 μB/f.u. The total energy is -4.334 eV per atom. The calculated volume is 66 Å³/cell.

***

Entry 22:
A plane-wave DFT calculation with PBE was carried out for a relaxed structure of ScZnInNi.

The structure in extended XYZ format:
```
4
Lattice="0.000 3.219 3.219 3.219 0.000 3.219 3.219 3.219 0.000" Properties=species:S:1:pos:R:3 pbc="T T T"
Zn 3.219 3.219 3.219
In 0.000 0.000 0.000
Ni 1.609 1.609 1.609
Sc 4.828 4.828 4.828
```

As for the spin magnetization: 0.00 μB/f.u. The total energy is -4.232 eV per atom. The calculated volume is 67 Å³/cell.

***

Entry 23:
A plane-wave DFT calculation with PBE was carried out for a relaxed structure of ZrScInNi.

The structure in extended XYZ format:
```
4
Lattice="0.000 3.353 3.353 3.353 0.000 3.353 3.353 3.353 0.000" Properties=species:S:1:pos:R:3 pbc="T T T"
Ni 5.029 5.029 5.029
Zr 3.353 3.353 3.353
In 0.000 0.000 0.000
Sc 1.676 1.676 1.676
```

As for the spin magnetization: 1.99 μB/f.u. The total energy is -5.848 eV per atom. The calculated volume is 75 Å³/cell.